No. 1
# Y2Tc2Ge | Alexandria | PBE | relaxed
data_Y2Tc2Ge
_chemical_formula_sum 'Y4 Tc4 Ge2'
_cell_length_a 6.700
_cell_length_b 6.700
_cell_length_c 4.634
_cell_angle_alpha 90.00
_cell_angle_beta 90.00
_cell_angle_gamma 90.00
_space_group_name_H-M_alt 'P 4/m b m'
_space_group_IT_number 127
_space_group_name_Hall '-P 4 2ab'
loop_
_atom_site_label
_atom_site_type_symbol
_atom_site_fract_x
_atom_site_fract_y
_atom_site_fract_z
_atom_site_occupancy
Y1 Y 0.177 0.323 0.000 1
Tc1 Tc 0.124 0.624 0.500 1
Ge1 Ge 0.000 0.000 0.500 1
# excess energy over the best structure of this formula in the dataset = 0 meV/atom
# spin magnetization = 0.00 Bohr magnetons per cell
# E_tot = -7.893 eV/atom
# calculated formation energy = -237 meV per atom
# density of states at the Fermi level = 4.8 states/eV/f.u.

No. 2
# Zr2SbAs2 | Alexandria | PBE | relaxed
data_Zr2SbAs2
_chemical_formula_sum 'Zr4 Sb2 As4'
_cell_length_a 7.733
_cell_length_b 7.733
_cell_length_c 3.538
_cell_angle_alpha 90.00
_cell_angle_beta 90.00
_cell_angle_gamma 90.00
_space_group_name_H-M_alt 'P 4/m b m'
_space_group_IT_number 127
_space_group_name_Hall '-P 4 2ab'
loop_
_atom_site_label
_atom_site_type_symbol
_atom_site_fract_x
_atom_site_fract_y
_atom_site_fract_z
_atom_site_occupancy
Zr1 Zr 0.155 0.345 0.000 1
Sb1 Sb 0.000 0.000 0.000 1
As1 As 0.136 0.636 0.500 1
# excess energy over the best structure of this formula in the dataset = 0 meV/atom
# spin magnetization = 0.00 Bohr magnetons per cell
# E_tot = -6.869 eV/atom
# density of states at the Fermi level = 1.8 states/eV/f.u.
# E_form (uncorrected) = -0.77 eV/atom

No. 3
# TmSn5 | Alexandria | PBE | relaxed
data_TmSn5
_chemical_formula_sum 'Tm2 Sn10'
_cell_length_a 4.600
_cell_length_b 15.271
_cell_length_c 4.543
_cell_angle_alpha 90.00
_cell_angle_beta 90.00
_cell_angle_gamma 90.00
_space_group_name_H-M_alt 'C m m m'
_space_group_IT_number 65
_space_group_name_Hall '-C 2 2'
loop_
_atom_site_label
_atom_site_type_symbol
_atom_site_fract_x
_atom_site_fract_y
_atom_site_fract_z
_atom_site_occupancy
Tm1 Tm 0.000 0.000 0.000 1
Sn1 Sn 0.000 0.168 0.500 1
Sn2 Sn 0.000 0.343 0.000 1
Sn3 Sn 0.000 0.500 0.500 1
# spin magnetization = 0.00 Bohr magnetons per cell
# E_tot = -4.288 eV/atom
# calculated formation energy = -207 meV per atom
# density of states at the Fermi level = 3.2 states/eV/f.u.